[1]
ReOsAu2: relaxed, PBE.

Summary:
ΔH_f (0 K) = 904 meV per atom
Excess energy over the best structure of this formula in the dataset = 0.686 eV per atom

Unit cell a=4.6393 b=4.6393 c=2.9919 alpha=90.00 beta=90.00 gamma=90.00
With the nearest neighbours (Å) after each atom.
Fractional positions:
Re: 0.0000 0.0000 0.0000  8 Au 2.76, 2 Re 2.99
Os: 0.5000 0.5000 0.0000  8 Au 2.76, 2 Os 2.99
Au: 0.0000 0.5000 0.5000  4 Os 2.76, 4 Re 2.76, 2 Au 2.99
Au: 0.5000 0.0000 0.5000  4 Os 2.76, 4 Re 2.76, 2 Au 2.99



[2]
KTiIn2Sb: relaxed, PBE.

Summary:
Total DFT energy (no corrections) = -3.7991 eV/atom

Unit cell a=5.4685 b=5.4685 c=5.3067 alpha=90.00 beta=90.00 gamma=90.00
With the nearest neighbours (Å) after each atom.
Fractional positions:
K: 0.0000 0.0000 0.0000  8 In 3.81, 4 Sb 3.87
Ti: 0.5000 0.5000 0.5000  2 Sb 2.65, 4 In 2.73
In: 0.0000 0.5000 0.5000  2 Ti 2.73
In: 0.5000 0.0000 0.5000  2 Ti 2.73
Sb: 0.5000 0.5000 0.0000  2 Ti 2.65



The records above give, respectively, D(E_F) values of 3.28, 4.49 states/eV per cell.
The records above give, respectively, total magnetic moment values of 0.0000, 0.0001 μB/atom.